Record 1
Crystalline ReHgP2 at its relaxed geometry. Source: Alexandria, functional PBE.

abc: 4.6558 3.4602 4.6284
angles: 67.79 90.00 90.00
Fractional positions:
Hg (0.5000, 0.7063, 0.7082)
Re (0.0000, 0.3313, 0.4618)
P (0.5000, 0.4296, 0.2681)
P (0.0000, 0.0328, 0.0618)

Summary:
Total DFT energy (no corrections) = -5.468 eV per atom

=====

Record 2
Crystalline Re2HgP at its relaxed geometry. Source: Alexandria, functional PBE.

abc: 5.3619 5.3619 5.3619
angles: 148.06 128.45 61.94
Fractional positions:
Hg (0.0000, 0.5000, 0.5000)
P (0.5000, 0.0000, 0.5000)
Re (0.2943, 0.2943, 0.0000)
Re (0.7057, 0.7057, 0.0000)

Summary:
Energy above the most stable polymorph in this dataset = 0.265 eV per atom
Total DFT energy (no corrections) = -7.114 eV per atom

=====

Number 1: formation energy 0.42 eV per atom, magnetization 0.000 μB per atom. Number 2: formation energy 0.54 eV per atom, magnetization 0.000 μB per atom.